## SrLi3Si (GGA-PBE)

Data for SrLi3Si after structural relaxation.

Structure (POSCAR):
```
SrLi3Si
1.0
-2.568 1.768 3.378
-6.173 -3.404 -2.910
-0.312 -6.332 3.077
Sr Li Si
2 6 2
Direct
0.881 0.092 0.582
0.381 0.583 0.224
0.381 0.434 0.768
0.381 0.982 0.294
0.381 0.979 0.927
0.881 0.696 0.879
0.881 0.241 0.039
0.881 0.693 0.512
0.881 0.899 0.135
0.381 0.776 0.671
```

- crystal system = monoclinic
- uncorrected formation energy (eV per formula unit) = -0.76
- energy above the lowest structure with this stoichiometry (kJ per mole of atoms) = 0.0